a:
A geometry-optimized Pm2DyY5 structure, computed with PBE-GGA.

The structure in POSCAR format:
```
Pm2DyY5
1.0
7.177 0.000 0.000
0.000 14.355 0.000
0.000 0.000 5.066
Pm Dy Y
4 2 10
direct
0.249 0.125 0.000
0.251 0.625 0.000
0.749 0.375 0.000
0.751 0.875 0.000
0.000 0.000 0.500
0.500 0.500 0.500
0.000 0.249 0.500
0.000 0.500 0.500
0.000 0.751 0.500
0.250 0.375 0.000
0.250 0.875 0.000
0.500 0.000 0.500
0.500 0.251 0.500
0.500 0.749 0.500
0.750 0.125 0.000
0.750 0.625 0.000
```

Summary:
Space group   Pbam

***

b:
A geometry-optimized Pm2DyY5 structure, computed with PBE-GGA.

The structure in POSCAR format:
```
Pm2DyY5
1.0
3.204 -12.689 0.000
3.204 12.689 0.000
-0.152 0.000 6.717
Pm Dy Y
4 2 10
direct
0.000 0.000 0.000
0.000 0.000 0.500
0.000 0.500 0.000
0.500 0.000 0.500
0.449 0.551 0.750
0.551 0.449 0.250
0.116 0.884 0.250
0.142 0.511 0.525
0.154 0.359 0.178
0.359 0.154 0.678
0.489 0.858 0.975
0.511 0.142 0.025
0.641 0.846 0.322
0.846 0.641 0.822
0.858 0.489 0.475
0.884 0.116 0.750
```

Summary:
Space group   C2/c

***

Relative to the most stable structure, the computed energies are a 0; b 289, all in meV per atom.

***

a:
A geometry-optimized Pm4DyY6 structure, computed with PBE-GGA.

The structure in POSCAR format:
```
Pm4DyY6
1.0
10.962 0.000 0.000
-5.481 9.494 0.000
0.000 0.000 3.594
Pm Dy Y
4 1 6
direct
0.000 0.000 0.000
0.508 0.016 0.500
0.508 0.492 0.500
0.984 0.492 0.500
0.667 0.333 0.000
0.189 0.378 0.000
0.189 0.811 0.000
0.299 0.150 0.500
0.622 0.811 0.000
0.850 0.150 0.500
0.850 0.701 0.500
```

Summary:
Space group   P-6m2

***

b:
A geometry-optimized Pm4DyY6 structure, computed with PBE-GGA.

The structure in POSCAR format:
```
Pm4DyY6
1.0
2.890 -4.861 0.000
2.890 4.861 0.000
0.000 0.000 25.959
Pm Dy Y
8 2 12
direct
0.030 0.970 0.622
0.030 0.970 0.878
0.343 0.657 0.544
0.343 0.657 0.956
0.657 0.343 0.044
0.657 0.343 0.456
0.970 0.030 0.122
0.970 0.030 0.378
0.317 0.683 0.250
0.683 0.317 0.750
0.000 0.000 0.000
0.000 0.000 0.500
0.017 0.983 0.750
0.310 0.690 0.106
0.310 0.690 0.394
0.355 0.645 0.683
0.355 0.645 0.817
0.645 0.355 0.183
0.645 0.355 0.317
0.690 0.310 0.606
0.690 0.310 0.894
0.983 0.017 0.250
```

Summary:
Space group   Cmcm

***

Relative to the most stable structure, the computed energies are a 46; b 0, all in meV per atom.

***

a:
A geometry-optimized PmDyY6 structure, computed with PBE-GGA.

The structure in POSCAR format:
```
PmDyY6
1.0
6.574 0.000 0.000
-0.009 6.799 0.000
-1.575 -3.369 5.895
Pm Dy Y
1 1 6
direct
0.000 0.000 0.000
0.500 0.000 0.000
0.233 0.576 0.483
0.252 0.547 0.002
0.270 0.094 0.523
0.730 0.906 0.477
0.748 0.453 0.998
0.767 0.424 0.517
```

Summary:
Space group   P-1

***

b:
A geometry-optimized PmDyY6 structure, computed with PBE-GGA.

The structure in POSCAR format:
```
PmDyY6
1.0
4.827 2.787 3.316
-4.827 2.787 3.316
0.000 -5.574 3.316
Pm Dy Y
1 1 6
direct
0.000 0.000 0.000
0.500 0.500 0.500
0.043 0.456 0.748
0.252 0.957 0.544
0.456 0.748 0.043
0.544 0.252 0.957
0.748 0.043 0.456
0.957 0.544 0.252
```

Summary:
Space group   R-3

***

Relative to the most stable structure, the computed energies are a 50; b 0, all in meV per atom.

***

a:
A geometry-optimized Pm5Dy2Y12 structure, computed with PBE-GGA.

The structure in POSCAR format:
```
Pm5Dy2Y12
1.0
7.814 -4.691 0.000
7.814 4.691 0.000
-0.310 0.000 8.689
Pm Dy Y
5 2 12
direct
0.000 0.000 0.000
0.230 0.230 0.071
0.295 0.295 0.481
0.705 0.705 0.519
0.770 0.770 0.929
0.327 0.673 0.500
0.673 0.327 0.500
0.031 0.673 0.262
0.075 0.075 0.375
0.181 0.561 0.833
0.327 0.969 0.738
0.439 0.819 0.167
0.443 0.443 0.167
0.557 0.557 0.833
0.561 0.181 0.833
0.673 0.031 0.262
0.819 0.439 0.167
0.925 0.925 0.625
0.969 0.327 0.738
```

Summary:
Space group   C2/m

***

b:
A geometry-optimized Pm5Dy2Y12 structure, computed with PBE-GGA.

The structure in POSCAR format:
```
Pm5Dy2Y12
1.0
6.079 0.000 0.000
0.244 9.787 0.000
1.429 3.863 10.590
Pm Dy Y
5 2 12
direct
0.000 0.000 0.000
0.082 0.312 0.043
0.429 0.183 0.485
0.571 0.817 0.515
0.918 0.688 0.957
0.284 0.569 0.419
0.716 0.431 0.581
0.041 0.684 0.656
0.102 0.962 0.346
0.165 0.316 0.724
0.386 0.903 0.788
0.424 0.821 0.106
0.496 0.457 0.167
0.504 0.543 0.833
0.576 0.179 0.894
0.614 0.097 0.212
0.835 0.684 0.276
0.898 0.038 0.654
0.959 0.316 0.344
```

Summary:
Space group   P-1

***

Relative to the most stable structure, the computed energies are a 6; b 0, all in meV per atom.